No. 1
The following is a PBEsol calculation of crystalline RePb2Br at its relaxed geometry, from Alexandria via LeMat-Bulk. Values from VASP.

```
&SYSTEM
  ibrav = 0, nat = 4, ntyp = 3
/
ATOMIC_SPECIES
Re 186.21 Re.upf
Pb 207.20 Pb.upf
Br 79.90 Br.upf
CELL_PARAMETERS angstrom
1.711 0.988 9.037
-1.711 0.988 9.037
0.000 -1.976 9.037
ATOMIC_POSITIONS angstrom
Re 0.000 0.000 0.000
Pb 0.000 0.000 6.993
Pb 0.000 0.000 20.117
Br 0.000 0.000 13.555
```

Summary:
Energy relative to the lowest polymorph listed for this composition ... 0 meV per atom
Uncorrected formation energy ... 0.58 eV/atom
Total DFT energy (no corrections) ... -5.216 eV per atom
V ... 22.91 Å³/atom
D(E_F) ... 3.7 states/eV/f.u.
Spin magnetization ... 0.0 μB/f.u.
ρ ... 12.329 g cm⁻³


No. 2
The following is a PBEsol calculation of crystalline CdCu3 at its relaxed geometry, from Alexandria via LeMat-Bulk. Values from VASP.

```
&SYSTEM
  ibrav = 0, nat = 4, ntyp = 2
/
ATOMIC_SPECIES
Cd 112.41 Cd.upf
Cu 63.55 Cu.upf
CELL_PARAMETERS angstrom
2.750 0.000 0.000
0.000 4.275 0.000
0.000 0.000 4.552
ATOMIC_POSITIONS angstrom
Cd 0.000 0.000 0.000
Cu 0.000 2.138 1.641
Cu 1.375 0.000 2.266
Cu 1.375 2.138 3.747
```

Summary:
Total DFT energy (no corrections) ... -3.453 eV per atom
V ... 13.38 Å³/atom
D(E_F) ... 1.1 states/eV/f.u.
Spin magnetization ... 0.0 μB/f.u.
ΔH_f (0 K) ... 0.096 eV/atom
ρ ... 9.401 g cm⁻³


No. 3
The following is a PBEsol calculation of crystalline MgCuCl3 at its relaxed geometry, from Alexandria via LeMat-Bulk. Values from VASP.

```
&SYSTEM
  ibrav = 0, nat = 5, ntyp = 3
/
ATOMIC_SPECIES
Mg 24.30 Mg.upf
Cu 63.55 Cu.upf
Cl 35.45 Cl.upf
CELL_PARAMETERS angstrom
4.653 0.000 0.000
0.000 4.653 0.000
0.000 0.000 4.653
ATOMIC_POSITIONS angstrom
Mg 0.000 0.000 0.000
Cu 2.326 2.326 2.326
Cl 0.000 2.326 2.326
Cl 2.326 0.000 2.326
Cl 2.326 2.326 0.000
```

Summary:
Uncorrected formation energy ... -0.65 eV/atom
Total DFT energy (no corrections) ... -3.063 eV per atom
V ... 20.15 Å³/atom
D(E_F) ... 1.9 states/eV/f.u.
Spin magnetization ... 0.0 μB/f.u.
ρ ... 3.201 g cm⁻³


No. 4
The following is a PBEsol calculation of crystalline KNdTe2 at its relaxed geometry, from Alexandria via LeMat-Bulk. Values from VASP.

```
&SYSTEM
  ibrav = 0, nat = 4, ntyp = 3
/
ATOMIC_SPECIES
K 39.10 K.upf
Nd 144.24 Nd.upf
Te 127.60 Te.upf
CELL_PARAMETERS angstrom
2.270 1.310 8.119
-2.270 1.310 8.119
0.000 -2.621 8.119
ATOMIC_POSITIONS angstrom
K 0.000 0.000 0.000
Nd 0.000 0.000 12.178
Te 0.000 0.000 5.819
Te 0.000 0.000 18.537
```

Summary:
Uncorrected formation energy ... -1.38 eV/atom
Total DFT energy (no corrections) ... -4.720 eV per atom
V ... 36.21 Å³/atom
Spin magnetization ... 0.0 μB/f.u.
ρ ... 5.027 g cm⁻³


What is the spin magnetization in the fourth record?
0.0 μB/f.u.